1.
Entry from the Alexandria database: Cs3SrDy2Te6 after structural relaxation (PBE).

Energy relative to the elements, uncorrected in meV/atom: -1308

Geometry as POSCAR:
```
Cs3SrDy2Te6
1.0
8.0325 -0.0028 -0.0018
-4.0167 6.9560 -0.0018
-1.3418 -2.3233 8.9869
Cs Sr Dy Te
3 1 2 6
Cartesian
-2.7545 4.6779 4.4916
5.4284 -0.0480 4.4916
1.3370 2.3149 4.4916
0.0000 0.0000 0.0000
-0.0085 4.6411 -0.0018
4.0242 2.3121 -0.0018
4.0971 2.1627 7.2396
2.5924 4.4886 1.7170
-1.4232 2.4672 1.7437
-0.1743 4.6296 7.2396
0.0816 0.1413 7.2662
2.8483 0.0003 1.7437
```

2.
Entry from the Alexandria database: Be2B2Ir after structural relaxation (PBE).

Formation energy from the elements in eV per atom: -0.2067

Geometry as POSCAR:
```
Be2B2Ir
1.0
-4.5607 1.9370 -2.3814
-0.2405 -4.4772 -3.1812
-1.5814 -1.3099 1.9631
Be B Ir
4 4 2
Cartesian
-1.7396 -3.3320 -1.5691
-4.0572 -3.0566 -3.2523
-4.6430 -0.5181 -2.0303
-2.3254 -0.7935 -0.3472
-2.0030 -3.2347 -3.7719
-4.2150 -0.9935 -4.0583
-2.7983 0.6945 -1.7907
-0.5863 -1.5467 -1.5043
0.0000 0.0000 0.0000
-2.4006 -1.2701 -2.7813
```

3.
Entry from the Alexandria database: Tm3Si6Pt20 after structural relaxation (PBE).

Energy relative to the elements, uncorrected in meV/atom: -825

Geometry as POSCAR:
```
Tm3Si6Pt20
1.0
-0.2202 6.5054 5.8084
7.2909 2.3888 4.1523
3.7767 7.6402 -1.8625
Tm Si Pt
3 6 20
Cartesian
8.1356 12.4008 6.0737
2.7119 4.1336 2.0246
0.0000 0.0000 0.0000
8.0435 9.0850 3.2325
2.8039 7.4494 4.8657
4.6592 7.9761 1.3050
4.5570 10.9958 4.0012
6.2904 5.5385 4.0970
6.1882 8.5582 6.7932
5.9236 9.9134 2.2243
6.8002 7.1537 2.2728
-0.1443 4.2647 3.8078
2.3669 5.0875 5.2380
2.4759 5.0087 -1.2210
7.5734 7.4480 5.0480
4.9871 5.8314 0.2092
1.1565 6.8962 3.1663
4.7797 1.5660 2.7221
1.3008 2.6315 -0.6415
2.4001 7.2493 0.7796
2.5112 0.8228 1.4302
4.7038 3.8067 4.7227
-0.0758 2.2407 2.0006
4.1506 6.3266 3.0987
4.9238 6.6210 5.8739
6.6968 10.2077 4.9995
3.2741 9.0863 3.0502
4.0473 9.3806 5.8254
6.0805 4.1975 2.0806
```

4.
Entry from the Alexandria database: DyHoIn after structural relaxation (PBE).

Formation energy from the elements in eV per atom: -0.2553

Geometry as POSCAR:
```
DyHoIn
1.0
-0.6220 1.2971 -4.3707
4.3681 -1.0946 -0.9455
-2.3609 -7.7280 -1.9581
Dy Ho In
2 2 2
Cartesian
2.8098 0.1519 -3.9875
0.9363 0.0506 -1.3288
-0.2067 -2.0253 -4.2046
1.5918 -5.5002 -3.0697
2.4767 -2.6029 -2.3358
-1.0915 -4.9226 -4.9385
```

5.
Entry from the Alexandria database: LiPrTl after structural relaxation (PBE).

Formation energy from the elements in eV per atom: -0.1646

Geometry as POSCAR:
```
LiPrTl
1.0
3.6773 0.0000 0.0000
0.0000 3.6773 0.0000
-1.8387 -1.8387 5.8316
Pr Tl Li
1 1 1
Cartesian
1.8387 1.8387 5.2211
0.0000 0.0000 2.9984
1.8387 1.8387 1.6942
```

6.
Entry from the Alexandria database: ErTmHfZr after structural relaxation (PBE).

Formation energy from the elements in eV per atom: 0.2486

Geometry as POSCAR:
```
ErTmHfZr
1.0
5.2790 0.0000 0.0000
2.6395 4.5718 0.0000
2.6395 1.5239 4.3103
Tm Hf Zr Er
1 1 1 1
Cartesian
5.2790 3.0478 2.1552
7.9185 4.5718 3.2327
0.0000 0.0000 0.0000
2.6395 1.5239 1.0776
```

7.
Entry from the Alexandria database: CeMgGa2Pt5 after structural relaxation (PBE).

Formation energy from the elements in eV per atom: -0.7288

Geometry as POSCAR:
```
CeMgGa2Pt5
1.0
4.1471 0.0000 0.0000
0.0000 4.1471 0.0000
0.0000 0.0000 9.4716
Ce Mg Ga Pt
1 1 2 5
Cartesian
0.0000 0.0000 4.7358
0.0000 0.0000 0.0000
2.0735 2.0735 1.1999
2.0735 2.0735 8.2717
0.0000 2.0735 2.6165
2.0735 0.0000 2.6165
0.0000 2.0735 6.8551
2.0735 0.0000 6.8551
2.0735 2.0735 4.7358
```

8.
Entry from the Alexandria database: Cs2TlInSe4 after structural relaxation (PBE).

Energy relative to the elements, uncorrected in meV/atom: -788

Geometry as POSCAR:
```
Cs2TlInSe4
1.0
-6.3473 2.5718 0.1043
-4.9566 -3.3483 5.8153
0.4910 10.0000 8.1929
Cs Tl In Se
4 2 2 8
Cartesian
-0.8445 6.8243 5.2262
-5.0118 5.7475 3.0710
-5.6578 8.4304 10.0491
-8.3288 2.0791 4.1156
-3.8197 3.9688 7.0302
-3.1736 1.2859 0.0522
-6.9933 5.2547 7.0824
0.0000 0.0000 0.0000
-5.7196 -0.8379 5.6233
-1.7982 8.7262 8.4351
-9.3487 8.5357 12.0379
-4.7594 2.0229 2.1288
-6.2303 2.7443 7.2744
-4.7041 6.5284 6.8402
-8.4575 5.9425 9.1570
-2.2339 3.2318 4.9536
```

9.
Entry from the Alexandria database: LiB2Ir4 after structural relaxation (PBE).

Formation energy from the elements in eV per atom: -0.0658

Geometry as POSCAR:
```
LiB2Ir4
1.0
-2.3246 -0.9730 -4.1166
4.7144 1.5281 -3.0233
0.8625 -6.1686 3.8006
Li B Ir
2 4 8
Cartesian
5.1714 -4.7912 0.0688
2.9920 -2.3652 -2.1034
1.6803 -4.3192 0.4371
0.5434 -4.8783 -1.6184
0.8000 -1.4645 -2.2795
3.1572 -0.7005 -3.7912
0.4724 -2.8030 -0.6802
1.2689 -1.4548 -4.3302
-1.1341 -2.0875 -2.8237
-1.5530 -4.7754 -1.8682
0.9568 -3.9619 -3.4777
2.0296 0.2515 -2.2815
2.6190 -4.9067 -1.3634
0.1091 -5.7202 0.2462
```

10.
Entry from the Alexandria database: Sm4ErTh3Se8 after structural relaxation (PBE).

Energy relative to the elements, uncorrected in meV/atom: -1687

Geometry as POSCAR:
```
Sm4ErTh3Se8
1.0
-1.7743 2.7796 -7.6043
-7.8703 -2.7785 0.8207
3.1289 5.1657 5.6754
Sm Er Th Se
4 1 3 8
Cartesian
-0.8871 1.3898 -3.8021
0.6773 3.9727 -0.9645
0.0000 0.0000 0.0000
1.5644 2.5829 2.8377
-3.9351 -1.3893 0.4103
-4.8223 0.0006 -3.3918
-3.2578 2.5834 -0.5541
-2.3707 1.1936 3.2480
-6.3228 -1.3803 -1.2332
-4.7957 1.1391 1.5353
-0.8056 2.5728 1.1284
-7.2314 0.0432 -5.1274
0.7157 5.1237 4.0191
-5.7100 2.5941 -2.2367
-1.7199 4.0278 -2.6436
-0.1929 6.5471 0.1250
```

11.
Entry from the Alexandria database: YScBiO2 after structural relaxation (PBE).

Energy relative to the elements, uncorrected in meV/atom: -1495

Geometry as POSCAR:
```
YScBiO2
1.0
-0.7429 0.9895 -4.0313
5.5189 -1.3663 -1.3524
-1.1714 -3.9789 -0.7607
Y Sc Bi O
1 1 1 2
Cartesian
1.8023 -2.1778 -3.0722
0.0000 0.0000 0.0000
2.7595 -0.6831 -0.6762
-0.5857 -1.9894 -0.3804
-0.3714 0.4947 -2.0157
```

12.
Entry from the Alexandria database: Pm5CuTe8 after structural relaxation (PBE).

Energy relative to the elements, uncorrected in meV/atom: -1218

Geometry as POSCAR:
```
Pm5CuTe8
1.0
-5.0289 4.9631 4.1304
-3.5041 -7.2984 -1.1983
6.8298 -0.7816 4.4412
Pm Cu Te
5 1 8
Cartesian
-0.4515 -2.7747 0.1695
-5.7999 -2.2789 3.6093
-1.6709 -1.3154 5.2087
0.9005 2.0907 4.2858
4.5159 0.1352 5.7591
2.1131 -2.9946 3.7644
-3.2438 -4.6704 -0.2477
-0.4852 3.3648 7.1631
-2.1997 1.6924 4.3864
1.4177 -0.3823 6.1287
-2.8767 -2.1676 2.4069
-0.1666 -4.0408 5.2139
0.4893 -0.8874 2.6174
0.2523 -5.3764 1.8246
```

Listing spin magnetization for the structures above in their given order: 0.00; 0.00; 0.00; 0.11; 0.10; 0.46; 0.03; 0.00; 0.00; 0.00; 0.00; 0.00 μB/atom.